# 1
{"formula": "AlInGa3", "functional": "PBE-GGA", "state": "optimized geometry", "space_group": "C2/m", "relative_energy_mev_per_atom": 0, "lattice_angstrom": [[9.3770, -1.9703, 0.0000], [9.3770, 1.9703, 0.0000], [-0.8624, 0.0000, 5.6935]], "species": ["Al", "Al", "In", "In", "Ga", "Ga", "Ga", "Ga", "Ga", "Ga"], "frac_coords": [[0.2398, 0.2398, 0.1606], [0.7602, 0.7602, 0.8394], [0.4692, 0.4692, 0.2424], [0.5308, 0.5308, 0.7576], [0.0910, 0.0910, 0.2032], [0.1502, 0.1502, 0.7481], [0.3197, 0.3197, 0.5839], [0.6803, 0.6803, 0.4161], [0.8498, 0.8498, 0.2519], [0.9090, 0.9090, 0.7968]]}

# 2
{"formula": "La2Tl5In", "functional": "PBE-GGA", "state": "optimized geometry", "space_group": "Pbam", "lattice_angstrom": [[6.9020, 0.0000, 0.0000], [0.0000, 13.8086, 0.0000], [0.0000, 0.0000, 4.8514]], "species": ["La", "La", "La", "La", "Tl", "Tl", "Tl", "Tl", "Tl", "Tl", "Tl", "Tl", "Tl", "Tl", "In", "In"], "frac_coords": [[0.2479, 0.1247, 0.0000], [0.2521, 0.6247, 0.0000], [0.7479, 0.3753, 0.0000], [0.7521, 0.8753, 0.0000], [0.0000, 0.0000, 0.5000], [0.0020, 0.7486, 0.5000], [0.2453, 0.3763, 0.0000], [0.2547, 0.8763, 0.0000], [0.4980, 0.2486, 0.5000], [0.5000, 0.5000, 0.5000], [0.5020, 0.7514, 0.5000], [0.7453, 0.1237, 0.0000], [0.7547, 0.6237, 0.0000], [0.9980, 0.2514, 0.5000], [0.0000, 0.5000, 0.5000], [0.5000, 0.0000, 0.5000]]}

# 3
{"formula": "Sm2Pa3Se8", "functional": "PBE-GGA", "state": "optimized geometry", "space_group": "P2/m", "relative_energy_mev_per_atom": 0, "raw_formation_energy_kj_per_mol_atoms": -143.8, "lattice_angstrom": [[7.3081, 0.0000, 0.0000], [0.0000, 4.1357, 0.0000], [-2.6772, 0.0000, 13.4393]], "species": ["Sm", "Sm", "Pa", "Pa", "Pa", "Se", "Se", "Se", "Se", "Se", "Se", "Se", "Se"], "frac_coords": [[0.2454, 0.0000, 0.2490], [0.7546, 0.0000, 0.7510], [0.2546, 0.5000, 0.7508], [0.5000, 0.0000, 0.0000], [0.7454, 0.5000, 0.2492], [0.1054, 0.5000, 0.3606], [0.1359, 0.0000, 0.8754], [0.3664, 0.5000, 0.1190], [0.3747, 0.0000, 0.6376], [0.6253, 0.0000, 0.3624], [0.6336, 0.5000, 0.8810], [0.8641, 0.0000, 0.1246], [0.8946, 0.5000, 0.6394]]}

# 4
{"formula": "Pa2RuRh", "functional": "PBE-GGA", "state": "optimized geometry", "space_group": "R-3m", "lattice_angstrom": [[1.7806, 1.0280, 8.6044], [-1.7806, 1.0280, 8.6044], [0.0000, -2.0560, 8.6044]], "species": ["Pa", "Pa", "Ru", "Rh"], "frac_coords": [[0.0965, 0.0965, 0.0965], [0.9035, 0.9035, 0.9035], [0.5000, 0.5000, 0.5000], [0.0000, 0.0000, 0.0000]]}

# 5
{"formula": "MgSc2Cl", "functional": "PBE-GGA", "state": "optimized geometry", "space_group": "F-43m", "relative_energy_mev_per_atom": 835, "raw_formation_energy_kj_per_mol_atoms": 21.8, "lattice_angstrom": [[0.0000, 3.6740, 3.6740], [3.6740, 0.0000, 3.6740], [3.6740, 3.6740, 0.0000]], "species": ["Mg", "Sc", "Sc", "Cl"], "frac_coords": [[0.0000, 0.0000, 0.0000], [0.2500, 0.2500, 0.2500], [0.5000, 0.5000, 0.5000], [0.7500, 0.7500, 0.7500]]}

# 6
{"formula": "V6Ga2W", "functional": "PBE-GGA", "state": "optimized geometry", "space_group": "C2/m", "relative_energy_mev_per_atom": 203, "lattice_angstrom": [[6.1658, -2.5588, 0.0000], [6.1658, 2.5588, 0.0000], [-1.6402, 0.0000, 4.1946]], "species": ["V", "V", "V", "V", "V", "V", "Ga", "Ga", "W"], "frac_coords": [[0.1453, 0.6550, 0.9001], [0.2136, 0.2136, 0.7139], [0.3450, 0.8547, 0.0999], [0.6550, 0.1453, 0.9001], [0.7864, 0.7864, 0.2861], [0.8547, 0.3450, 0.0999], [0.3458, 0.3458, 0.3459], [0.6542, 0.6542, 0.6541], [0.0000, 0.0000, 0.5000]]}

# 7
{"formula": "EuHoC", "functional": "PBE-GGA", "state": "optimized geometry", "space_group": "P3m1", "lattice_angstrom": [[3.6614, 0.0000, 0.0000], [-1.8307, 3.1709, 0.0000], [0.0000, 0.0000, 6.5441]], "species": ["Eu", "Ho", "C"], "frac_coords": [[0.0000, 0.0000, 0.0000], [0.3333, 0.6667, 0.4176], [0.6667, 0.3333, 0.2458]]}

# 8
{"formula": "Li2ZrMo", "functional": "PBE-GGA", "state": "optimized geometry", "space_group": "I4/mmm", "relative_energy_mev_per_atom": 191, "lattice_angstrom": [[-1.8944, 1.8944, 4.9766], [1.8944, -1.8944, 4.9766], [1.8944, 1.8944, -4.9766]], "species": ["Li", "Li", "Zr", "Mo"], "frac_coords": [[0.2500, 0.7500, 0.5000], [0.7500, 0.2500, 0.5000], [0.0000, 0.0000, 0.0000], [0.5000, 0.5000, 0.0000]]}

# 9
{"formula": "Cs4GaSb4", "functional": "PBE-GGA", "state": "optimized geometry", "space_group": "I-42m", "raw_formation_energy_kj_per_mol_atoms": -10.7, "lattice_angstrom": [[-3.9112, 3.9112, 7.8022], [3.9112, -3.9112, 7.8022], [3.9112, 3.9112, -7.8022]], "species": ["Cs", "Cs", "Cs", "Cs", "Ga", "Sb", "Sb", "Sb", "Sb"], "frac_coords": [[0.0662, 0.6581, 0.0000], [0.3419, 0.3419, 0.4081], [0.6581, 0.0662, 0.0000], [0.9338, 0.9338, 0.5919], [0.5000, 0.5000, 0.0000], [0.2044, 0.2044, 0.6158], [0.4114, 0.7956, 0.0000], [0.5886, 0.5886, 0.3842], [0.7956, 0.4114, 0.0000]]}

# 10
{"formula": "PuPtAu", "functional": "PBE-GGA", "state": "optimized geometry", "space_group": "C2/m", "relative_energy_mev_per_atom": 77, "lattice_angstrom": [[4.0512, -2.3177, 0.0000], [4.0512, 2.3177, 0.0000], [-2.7068, 0.0000, 7.3523]], "species": ["Pu", "Pu", "Pt", "Pt", "Au", "Au"], "frac_coords": [[0.2430, 0.2430, 0.2223], [0.7570, 0.7570, 0.7777], [0.3717, 0.3717, 0.6205], [0.6283, 0.6283, 0.3795], [0.0000, 0.0000, 0.5000], [0.5000, 0.5000, 0.0000]]}

# 11
{"formula": "Tb6BiO12", "functional": "PBE-GGA", "state": "optimized geometry", "space_group": "R-3", "raw_formation_energy_kj_per_mol_atoms": -288.5, "lattice_angstrom": [[5.0184, 2.8974, 3.1553], [-5.0184, 2.8974, 3.1553], [0.0000, -5.7948, 3.1553]], "species": ["Tb", "Tb", "Tb", "Tb", "Tb", "Tb", "Bi", "O", "O", "O", "O", "O", "O", "O", "O", "O", "O", "O", "O"], "frac_coords": [[0.1093, 0.6409, 0.8059], [0.1941, 0.8907, 0.3591], [0.3591, 0.1941, 0.8907], [0.6409, 0.8059, 0.1093], [0.8059, 0.1093, 0.6409], [0.8907, 0.3591, 0.1941], [0.5000, 0.5000, 0.5000], [0.0651, 0.3219, 0.9148], [0.0852, 0.9349, 0.6781], [0.1850, 0.5505, 0.4302], [0.3219, 0.9148, 0.0651], [0.4302, 0.1850, 0.5505], [0.4495, 0.5698, 0.8150], [0.5505, 0.4302, 0.1850], [0.5698, 0.8150, 0.4495], [0.6781, 0.0852, 0.9349], [0.8150, 0.4495, 0.5698], [0.9148, 0.0651, 0.3219], [0.9349, 0.6781, 0.0852]]}

# 12
{"formula": "W2Au", "functional": "PBE-GGA", "state": "optimized geometry", "space_group": "P-62m", "relative_energy_mev_per_atom": 42, "lattice_angstrom": [[7.9973, 0.0000, 0.0000], [-3.9987, 6.9259, 0.0000], [0.0000, 0.0000, 2.6896]], "species": ["W", "W", "W", "W", "W", "W", "Au", "Au", "Au"], "frac_coords": [[0.0000, 0.3138, 0.0000], [0.0000, 0.6474, 0.5000], [0.3138, 0.0000, 0.0000], [0.3526, 0.3526, 0.5000], [0.6474, 0.0000, 0.5000], [0.6862, 0.6862, 0.0000], [0.0000, 0.0000, 0.5000], [0.3333, 0.6667, 0.0000], [0.6667, 0.3333, 0.0000]]}

# 13
{"formula": "LaPaGaO6", "functional": "PBE-GGA", "state": "optimized geometry", "space_group": "P312", "raw_formation_energy_kj_per_mol_atoms": -255.4, "lattice_angstrom": [[5.5494, 0.0000, 0.0000], [-2.7747, 4.8059, 0.0000], [0.0000, 0.0000, 4.8419]], "species": ["La", "Pa", "Ga", "O", "O", "O", "O", "O", "O"], "frac_coords": [[0.0000, 0.0000, 0.0000], [0.6667, 0.3333, 0.5000], [0.3333, 0.6667, 0.0000], [0.0121, 0.3823, 0.2398], [0.0121, 0.6298, 0.7602], [0.3702, 0.3823, 0.7602], [0.3702, 0.9879, 0.2398], [0.6177, 0.6298, 0.2398], [0.6177, 0.9879, 0.7602]]}

# 14
{"formula": "Tb6SmSc", "functional": "PBE-GGA", "state": "optimized geometry", "space_group": "C2/m", "relative_energy_mev_per_atom": 360, "lattice_angstrom": [[4.5106, -3.5117, 0.0000], [4.5106, 3.5117, 0.0000], [-2.4635, 0.0000, 8.7670]], "species": ["Tb", "Tb", "Tb", "Tb", "Tb", "Tb", "Sm", "Sc"], "frac_coords": [[0.0463, 0.5582, 0.2094], [0.1333, 0.1333, 0.4268], [0.4418, 0.9537, 0.7906], [0.5582, 0.0463, 0.2094], [0.8667, 0.8667, 0.5732], [0.9537, 0.4418, 0.7906], [0.0000, 0.0000, 0.0000], [0.5000, 0.5000, 0.5000]]}

# 15
{"formula": "CsHf3I", "functional": "PBE-GGA", "state": "optimized geometry", "space_group": "Pm-3m", "relative_energy_mev_per_atom": 914, "raw_formation_energy_kj_per_mol_atoms": 225.5, "lattice_angstrom": [[5.3728, 0.0000, 0.0000], [0.0000, 5.3728, 0.0000], [0.0000, 0.0000, 5.3728]], "species": ["Cs", "Hf", "Hf", "Hf", "I"], "frac_coords": [[0.0000, 0.0000, 0.0000], [0.0000, 0.0000, 0.5000], [0.0000, 0.5000, 0.0000], [0.5000, 0.0000, 0.0000], [0.5000, 0.5000, 0.5000]]}

# 16
{"formula": "ZrSc2PbN", "functional": "PBE-GGA", "state": "optimized geometry", "space_group": "P4/mmm", "raw_formation_energy_kj_per_mol_atoms": -88.4, "lattice_angstrom": [[4.5042, 0.0000, 0.0000], [0.0000, 4.5042, 0.0000], [0.0000, 0.0000, 4.5454]], "species": ["Zr", "Sc", "Sc", "Pb", "N"], "frac_coords": [[0.0000, 0.0000, 0.0000], [0.0000, 0.5000, 0.5000], [0.5000, 0.0000, 0.5000], [0.5000, 0.5000, 0.0000], [0.0000, 0.0000, 0.5000]]}

# 17
{"formula": "HIrF4", "functional": "PBE-GGA", "state": "optimized geometry", "space_group": "I-4", "lattice_angstrom": [[-2.4457, 2.4457, 2.5807], [2.4457, -2.4457, 2.5807], [2.4457, 2.4457, -2.5807]], "species": ["H", "Ir", "F", "F", "F", "F"], "frac_coords": [[0.0000, 0.0000, 0.0000], [0.7500, 0.2500, 0.5000], [0.2086, 0.7483, 0.0336], [0.2517, 0.2852, 0.4603], [0.7148, 0.1750, 0.9664], [0.8250, 0.7914, 0.5397]]}

# 18
{"formula": "RbLaAsSe2", "functional": "PBE-GGA", "state": "optimized geometry", "space_group": "P4/mmm", "relative_energy_mev_per_atom": 967, "raw_formation_energy_kj_per_mol_atoms": 26.6, "lattice_angstrom": [[5.5936, 0.0000, 0.0000], [0.0000, 5.5936, 0.0000], [0.0000, 0.0000, 5.3443]], "species": ["Rb", "La", "As", "Se", "Se"], "frac_coords": [[0.0000, 0.0000, 0.0000], [0.5000, 0.5000, 0.5000], [0.0000, 0.0000, 0.5000], [0.0000, 0.5000, 0.0000], [0.5000, 0.0000, 0.0000]]}

# 19
{"formula": "Sr2Cu3Sn4Au", "functional": "PBE-GGA", "state": "optimized geometry", "space_group": "P-4m2", "lattice_angstrom": [[4.6604, 0.0000, 0.0000], [0.0000, 4.6604, 0.0000], [0.0000, 0.0000, 10.8463]], "species": ["Sr", "Sr", "Cu", "Cu", "Cu", "Sn", "Sn", "Sn", "Sn", "Au"], "frac_coords": [[0.0000, 0.5000, 0.2425], [0.5000, 0.0000, 0.7575], [0.0000, 0.0000, 0.0000], [0.0000, 0.5000, 0.6271], [0.5000, 0.0000, 0.3729], [0.0000, 0.0000, 0.5000], [0.0000, 0.5000, 0.8673], [0.5000, 0.0000, 0.1327], [0.5000, 0.5000, 0.5000], [0.5000, 0.5000, 0.0000]]}

# 20
{"formula": "Tm2RuPb", "functional": "PBE-GGA", "state": "optimized geometry", "space_group": "Fm-3m", "relative_energy_mev_per_atom": 221, "lattice_angstrom": [[0.0000, 3.5721, 3.5721], [3.5721, 0.0000, 3.5721], [3.5721, 3.5721, 0.0000]], "species": ["Tm", "Tm", "Ru", "Pb"], "frac_coords": [[0.2500, 0.2500, 0.2500], [0.7500, 0.7500, 0.7500], [0.0000, 0.0000, 0.0000], [0.5000, 0.5000, 0.5000]]}

# 21
{"formula": "Ca2MgReB", "functional": "PBE-GGA", "state": "optimized geometry", "space_group": "P4/mmm", "lattice_angstrom": [[5.6215, 0.0000, 0.0000], [0.0000, 5.6215, 0.0000], [0.0000, 0.0000, 4.1620]], "species": ["Ca", "Ca", "Mg", "Re", "B"], "frac_coords": [[0.0000, 0.5000, 0.0000], [0.5000, 0.0000, 0.0000], [0.0000, 0.0000, 0.5000], [0.5000, 0.5000, 0.0000], [0.5000, 0.5000, 0.5000]]}

# 22
{"formula": "PmNd2NpO8", "functional": "PBE-GGA", "state": "optimized geometry", "space_group": "P2/m", "raw_formation_energy_kj_per_mol_atoms": -300.8, "lattice_angstrom": [[3.9819, 0.0000, 0.0000], [0.0000, 7.6296, 0.0000], [-0.4524, 0.0000, 5.5515]], "species": ["Pm", "Nd", "Nd", "Np", "O", "O", "O", "O", "O", "O", "O", "O"], "frac_coords": [[0.0000, 0.0000, 0.0000], [0.5000, 0.2438, 0.5000], [0.5000, 0.7562, 0.5000], [0.0000, 0.5000, 0.0000], [0.0340, 0.2834, 0.7693], [0.0340, 0.7166, 0.7693], [0.4424, 0.5000, 0.2148], [0.4962, 0.0000, 0.7483], [0.5038, 0.0000, 0.2517], [0.5576, 0.5000, 0.7852], [0.9660, 0.2834, 0.2307], [0.9660, 0.7166, 0.2307]]}

# 23
{"formula": "Tb2Pm2Er5", "functional": "PBE-GGA", "state": "optimized geometry", "space_group": "Ima2", "relative_energy_mev_per_atom": 212, "lattice_angstrom": [[-7.4451, 5.8602, 3.3560], [7.4451, -5.8602, 3.3560], [7.4451, 5.8602, -3.3560]], "species": ["Tb", "Tb", "Tb", "Tb", "Pm", "Pm", "Pm", "Pm", "Er", "Er", "Er", "Er", "Er", "Er", "Er", "Er", "Er", "Er"], "frac_coords": [[0.0000, 0.0000, 0.0000], [0.0000, 0.5000, 0.5000], [0.8889, 0.6514, 0.7376], [0.9138, 0.1514, 0.2624], [0.4478, 0.5795, 0.1226], [0.4478, 0.8252, 0.3684], [0.4568, 0.0795, 0.6316], [0.4568, 0.3252, 0.8774], [0.0463, 0.3555, 0.7966], [0.0463, 0.7496, 0.1908], [0.3537, 0.8527, 0.0011], [0.3580, 0.2644, 0.3790], [0.3580, 0.4790, 0.5937], [0.5589, 0.2496, 0.2034], [0.5589, 0.8555, 0.8092], [0.8516, 0.3527, 0.9989], [0.8853, 0.7644, 0.4063], [0.8853, 0.9790, 0.6210]]}

# 24
{"formula": "Cu5Ag4", "functional": "PBE-GGA", "state": "optimized geometry", "space_group": "P6_3/mcm", "relative_energy_mev_per_atom": 95, "lattice_angstrom": [[7.6788, 0.0000, 0.0000], [-3.8394, 6.6500, 0.0000], [0.0000, 0.0000, 5.2781]], "species": ["Cu", "Cu", "Cu", "Cu", "Cu", "Cu", "Cu", "Cu", "Cu", "Cu", "Ag", "Ag", "Ag", "Ag", "Ag", "Ag", "Ag", "Ag"], "frac_coords": [[0.0000, 0.3281, 0.2500], [0.0000, 0.6719, 0.7500], [0.3281, 0.0000, 0.2500], [0.3281, 0.3281, 0.7500], [0.3333, 0.6667, 0.0000], [0.3333, 0.6667, 0.5000], [0.6667, 0.3333, 0.0000], [0.6667, 0.3333, 0.5000], [0.6719, 0.0000, 0.7500], [0.6719, 0.6719, 0.2500], [0.0000, 0.0000, 0.0000], [0.0000, 0.0000, 0.5000], [0.0000, 0.3451, 0.7500], [0.0000, 0.6549, 0.2500], [0.3451, 0.0000, 0.7500], [0.3451, 0.3451, 0.2500], [0.6549, 0.0000, 0.2500], [0.6549, 0.6549, 0.7500]]}

no.,total DFT energy (no corrections) (eV per atom)
1,-3.057
2,-3.420
3,-6.552
4,-8.862
5,-3.800
6,-8.070
7,-8.075
8,-5.386
9,-2.659
10,-8.354
11,-7.788
12,-9.321
13,-7.891
14,-4.461
15,-4.116
16,-7.565
17,-3.968
18,-3.227
19,-3.876
20,-5.772
21,-4.199
22,-8.691
23,-4.404
24,-3.352